Record 1
The following is a PBE calculation of crystalline ZrMo2PtW at its relaxed geometry, from the Alexandria database.

Crystal system: tetragonal
E_form: 1.687 eV/atom

Cell lengths 4.725, 4.725, 4.936 Å; angles 90.00, 90.00, 90.00 degrees
Space group P4/mmm (No. 123)
One atom of each set of equivalent atoms:
Zr  0.000  0.000  0.000 x1
Mo  0.000  0.500  0.500 x2
Pt  0.000  0.000  0.500 x1
W  0.500  0.500  0.000 x1

---

Record 2
The following is a PBE calculation of crystalline LiSmAlF6 at its relaxed geometry, from the Alexandria database.

ΔE_f (raw): -3.31 eV per atom
Crystal system: hexagonal

Cell lengths 4.9267, 4.9267, 11.0681 Å; angles 90.00, 90.00, 120.00 degrees
Space group P6_322 (No. 182)
One atom of each set of equivalent atoms:
Li  0.3333  0.6667  0.2500 x2
Sm  0.0000  0.0000  0.0000 x2
Al  0.3333  0.6667  0.7500 x2
F  0.0286  0.3594  0.8445 x12

---

Record 3
The following is a PBE calculation of crystalline Th2TcSe at its relaxed geometry, from the Alexandria database.

Distance to the lowest polymorph of the same formula: 0.24 eV/f.u.
ΔE_f (raw): -0.76 eV per atom
Crystal system: trigonal

Cell lengths 4.1333, 4.1333, 21.8208 Å; angles 90.00, 90.00, 120.00 degrees
Space group R-3m (No. 166, hexagonal axes)
One atom of each set of equivalent atoms:
Th  0.0000  0.0000  0.2383 x6
Tc  0.0000  0.0000  0.5000 x3
Se  0.0000  0.0000  0.0000 x3

---

Record 4
The following is a PBE calculation of crystalline Li2PrDy2Ge2 at its relaxed geometry, from the Alexandria database.

Crystal system: trigonal
E_form: -0.489 eV/atom

Cell lengths 4.5256, 4.5256, 27.0966 Å; angles 90.00, 90.00, 120.00 degrees
Space group R-3m (No. 166, hexagonal axes)
One atom of each set of equivalent atoms:
Li  0.0000  0.0000  0.0936 x6
Pr  0.0000  0.0000  0.5000 x3
Dy  0.0000  0.0000  0.3715 x6
Ge  0.0000  0.0000  0.2412 x6

---

Record 5
The following is a PBE calculation of crystalline SiBiP2Pt at its relaxed geometry, from the Alexandria database.

ΔE_f (raw): 0.44 eV per atom
Crystal system: tetragonal

Cell lengths 4.617, 4.617, 4.714 Å; angles 90.00, 90.00, 90.00 degrees
Space group P4/mmm (No. 123)
One atom of each set of equivalent atoms:
Si  0.000  0.000  0.000 x1
Bi  0.500  0.500  0.500 x1
P  0.000  0.500  0.000 x2
Pt  0.000  0.000  0.500 x1

---

Record 6
The following is a PBE calculation of crystalline Pm2B3C4 at its relaxed geometry, from the Alexandria database.

Crystal system: orthorhombic
E_form: 0.558 eV/atom

Cell lengths 4.621, 11.864, 7.656 Å; angles 90.00, 90.00, 90.00 degrees
Space group Cmce (No. 64)
One atom of each set of equivalent atoms:
Pm  0.000  0.126  0.081 x8
B  0.000  0.000  0.500 x4
B  0.250  0.185  0.750 x8
C  0.000  0.246  0.334 x8
C  0.250  0.047  0.750 x8

---

Record 7
The following is a PBE calculation of crystalline Cs2ReNiCl6 at its relaxed geometry, from the Alexandria database.

ΔE_f (raw): -0.92 eV per atom
Crystal system: tetragonal

Cell lengths 6.827, 6.827, 11.625 Å; angles 90.00, 90.00, 90.00 degrees
Space group I4/mmm (No. 139)
One atom of each set of equivalent atoms:
Cs  0.000  0.500  0.250 x4
Re  0.000  0.000  0.000 x2
Ni  0.000  0.000  0.500 x2
Cl  0.000  0.000  0.208 x4
Cl  0.246  0.246  0.500 x8

---

Record 8
The following is a PBE calculation of crystalline PaSe2I2 at its relaxed geometry, from the Alexandria database.

ΔE_f (raw): -0.95 eV per atom
Crystal system: monoclinic

Cell lengths 7.696, 13.342, 8.477 Å; angles 90.00, 110.43, 90.00 degrees
Space group C2/m (No. 12)
One atom of each set of equivalent atoms:
Pa  0.000  0.138  0.000 x4
Se  0.130  0.000  0.282 x4
Se  0.189  0.500  0.895 x4
I  0.230  0.201  0.767 x8

---

no.,D(E_F) (states/eV/atom),E_tot (eV/atom)
1,1.375,-8.154
2,0.235,-5.709
3,0.535,-7.936
4,0.475,-4.353
5,0.415,-4.792
6,0.168,-6.823
7,0.497,-4.024
8,0.524,-4.862